# 1
Material: Sc2AsSBr
Method: DFT, SCAN
State: single point on PBEsol structure

The density of states at the Fermi level is 0.7584 states/eV per atom. The value obtained for the formation energy from raw total energies is -278.8 meV per atom.

a b c (Å): 4.9668 5.0812 5.0812
angles (deg): 90.00 90.00 90.00
Sites, in units of the cell vectors:
Sc1 0.0000 0.0000 0.5000
Sc2 0.0000 0.5000 0.0000
As1 0.0000 0.0000 0.0000
S1 0.5000 0.5000 0.5000
Br1 0.5000 0.0000 0.0000

# 2
Material: TeAsSBr2
Method: DFT, SCAN
State: single point on PBEsol structure

The density of states at the Fermi level is 0.8890 states/eV per atom. The value obtained for the formation energy from raw total energies is 532.5 meV per atom.

a b c (Å): 4.9586 5.5746 5.5746
angles (deg): 90.00 90.00 90.00
Each line ends with the local moment (μB).
Sites, in units of the cell vectors:
As1 0.5000 0.5000 0.5000  1.12
Te1 0.0000 0.0000 0.0000  0.04
S1 0.5000 0.0000 0.0000  0.00
Br1 0.0000 0.0000 0.5000  0.05
Br2 0.0000 0.5000 0.0000  0.05

# 3
Material: AsWSBr2
Method: DFT, SCAN
State: single point on PBEsol structure

The density of states at the Fermi level is 0.9621 states/eV per atom. The value obtained for the formation energy from raw total energies is 1579.1 meV per atom.

a b c (Å): 4.8424 4.8424 4.9209
angles (deg): 90.00 90.00 90.00
Each line ends with the local moment (μB).
Sites, in units of the cell vectors:
S1 0.0000 0.0000 0.0000  0.01
As1 0.0000 0.0000 0.5000  -0.36
Br1 0.0000 0.5000 0.0000  0.00
Br2 0.5000 0.0000 0.0000  0.00
W1 0.5000 0.5000 0.5000  3.24

# 4
Material: Sb2As2Br
Method: DFT, SCAN
State: single point on PBEsol structure

The density of states at the Fermi level is 0.4639 states/eV per atom. The value obtained for the formation energy from raw total energies is 62.0 meV per atom.

a b c (Å): 5.3505 5.3505 5.8381
angles (deg): 117.27 117.27 90.00
Sites, in units of the cell vectors:
Sb1 0.2500 0.7500 0.5000
Sb2 0.7500 0.2500 0.5000
As1 0.3614 0.3614 0.7227
As2 0.6386 0.6386 0.2773
Br1 0.0000 0.0000 0.0000

Q: Number 3 is which compound?
A: AsWSBr2